Below is a geometry-optimized Tl2GaBiCl structure, with properties calculated at the PBE-GGA level.

As for the volume: 235 Å³ per cell. As for the raw formation energy: 0.085 eV/atom. As for the density of states at the Fermi level: 2.2 states/eV per cell. As for the raw total energy: -2.61 eV per atom.

The structure belongs to space group P4/mmm (No. 123); the cell edges are 6.498, 6.498 and 5.571 Å and the angles 90.00°, 90.00° and 90.00°. The asymmetric unit holds Tl at (0.000, 0.500, 0.000), Ga at (0.000, 0.000, 0.500), Bi at (0.000, 0.000, 0.000) and Cl at (0.500, 0.500, 0.500).